Entry 1:
The following is a DFT calculation (meta-GGA SCAN) of a PBEsol-optimized structure of Cr3ReRh.

extended XYZ file:
```
5
Lattice="4.488 0.000 0.000 0.000 4.488 0.000 0.000 0.000 4.488" Properties=species:S:1:pos:R:3 pbc="T T T"
Cr 2.244 0.000 0.000
Re 0.000 0.000 0.000
Cr 0.000 0.000 2.244
Rh 2.244 2.244 2.244
Cr 0.000 2.244 0.000
```

Results
**DFT formation energy**: 1.41 eV per atom
**D(E_F)**: 5.22 states/eV/f.u.
**V**: 18.1 Å³/atom

Entry 2:
The following is a DFT calculation (meta-GGA SCAN) of a PBEsol-optimized structure of MgTeOs2.

extended XYZ file:
```
4
Lattice="-1.379 1.352 2.210 0.310 -2.399 1.661 7.255 2.860 2.779" Properties=species:S:1:pos:R:3 pbc="T T T"
Te 3.440 1.356 1.317
Os 0.153 0.060 0.059
Mg 5.234 1.751 4.145
Os 0.986 0.076 2.518
```

Results
**E above lowest polymorph**: 30 meV per atom
**D(E_F)**: 3.68 states/eV/f.u.
**V**: 17.8 Å³/atom

> Among the records above, which one has the highest V?

Cr3ReRh